(1)
# CsTl9Au2 | Alexandria | PBE | relaxed
# Space group ... I4_1/amd (141)
# DFT total energy ... -0.08995 Ha/atom
# Energy of formation from the pure elements ... -64 kJ/mol of formula units
data_CsTl9Au2
_cell_length_a 10.2376
_cell_length_b 10.2376
_cell_length_c 10.2376
_cell_angle_alpha 100.52
_cell_angle_beta 100.52
_cell_angle_gamma 129.41
_symmetry_space_group_name_H-M 'P 1'
_symmetry_Int_Tables_number 1
_symmetry_space_group_name_Hall 'P 1'
loop_
_atom_site_label
_atom_site_type_symbol
_atom_site_fract_x
_atom_site_fract_y
_atom_site_fract_z
Cs1 Cs 0.3750 0.6250 0.7500
Cs2 Cs 0.6250 0.3750 0.2500
Tl1 Tl 0.1172 0.5533 0.3159
Tl2 Tl 0.1172 0.8013 0.5639
Tl3 Tl 0.1250 0.8750 0.2500
Tl4 Tl 0.1987 0.2626 0.3159
Tl5 Tl 0.1987 0.8828 0.9361
Tl6 Tl 0.2626 0.1987 0.8159
Tl7 Tl 0.2626 0.4467 0.0639
Tl8 Tl 0.4467 0.2626 0.5639
Tl9 Tl 0.4467 0.8828 0.1841
Tl10 Tl 0.5533 0.1172 0.8159
Tl11 Tl 0.5533 0.7374 0.4361
Tl12 Tl 0.7374 0.5533 0.9361
Tl13 Tl 0.7374 0.8013 0.1841
Tl14 Tl 0.8013 0.1172 0.0639
Tl15 Tl 0.8013 0.7374 0.6841
Tl16 Tl 0.8750 0.1250 0.7500
Tl17 Tl 0.8828 0.1987 0.4361
Tl18 Tl 0.8828 0.4467 0.6841
Au1 Au 0.0000 0.0000 0.0000
Au2 Au 0.0000 0.0000 0.5000
Au3 Au 0.0000 0.5000 0.0000
Au4 Au 0.5000 0.0000 0.5000



(2)
# Cs3Tl4Au2 | Alexandria | PBE | relaxed
# Distance to the lowest polymorph of the same formula ... 0.127 eV per formula unit
# Space group ... C2/m (12)
# DFT total energy ... -0.08026 Ha/atom
# Energy of formation from the pure elements ... -104 kJ/mol of formula units
data_Cs3Tl4Au2
_cell_length_a 7.5659
_cell_length_b 7.5659
_cell_length_c 10.5796
_cell_angle_alpha 98.80
_cell_angle_beta 98.80
_cell_angle_gamma 39.89
_symmetry_space_group_name_H-M 'P 1'
_symmetry_Int_Tables_number 1
_symmetry_space_group_name_Hall 'P 1'
loop_
_atom_site_label
_atom_site_type_symbol
_atom_site_fract_x
_atom_site_fract_y
_atom_site_fract_z
Cs1 Cs 0.0000 0.0000 0.0000
Cs2 Cs 0.3340 0.3340 0.3463
Cs3 Cs 0.6660 0.6660 0.6537
Tl1 Tl 0.0567 0.0567 0.3749
Tl2 Tl 0.2798 0.2798 0.9299
Tl3 Tl 0.7202 0.7202 0.0701
Tl4 Tl 0.9433 0.9433 0.6251
Au1 Au 0.3902 0.3902 0.7225
Au2 Au 0.6098 0.6098 0.2775



(3)
# CsTl8Au2 | Alexandria | PBE | relaxed
# Distance to the lowest polymorph of the same formula ... 0.000 eV per formula unit
# Space group ... C2/m (12)
# DFT total energy ... -0.08810 Ha/atom
# Energy of formation from the pure elements ... -3 kJ/mol of formula units
data_CsTl8Au2
_cell_length_a 8.1044
_cell_length_b 8.1044
_cell_length_c 6.0181
_cell_angle_alpha 97.16
_cell_angle_beta 97.16
_cell_angle_gamma 109.83
_symmetry_space_group_name_H-M 'P 1'
_symmetry_Int_Tables_number 1
_symmetry_space_group_name_Hall 'P 1'
loop_
_atom_site_label
_atom_site_type_symbol
_atom_site_fract_x
_atom_site_fract_y
_atom_site_fract_z
Cs1 Cs 0.0000 0.0000 0.0000
Tl1 Tl 0.0916 0.3448 0.6061
Tl2 Tl 0.2750 0.7250 0.0000
Tl3 Tl 0.3448 0.0916 0.6061
Tl4 Tl 0.4107 0.4107 0.2167
Tl5 Tl 0.5893 0.5893 0.7833
Tl6 Tl 0.6552 0.9084 0.3939
Tl7 Tl 0.7250 0.2750 0.0000
Tl8 Tl 0.9084 0.6552 0.3939
Au1 Au 0.2977 0.7023 0.5000
Au2 Au 0.7023 0.2977 0.5000



(4)
# CsTl4Au | Alexandria | PBE | relaxed
# Space group ... Cmcm (63)
# DFT total energy ... -0.08611 Ha/atom
# Energy of formation from the pure elements ... -45 kJ/mol of formula units
data_CsTl4Au
_cell_length_a 10.0834
_cell_length_b 10.0834
_cell_length_c 8.8524
_cell_angle_alpha 90.00
_cell_angle_beta 90.00
_cell_angle_gamma 153.53
_symmetry_space_group_name_H-M 'P 1'
_symmetry_Int_Tables_number 1
_symmetry_space_group_name_Hall 'P 1'
loop_
_atom_site_label
_atom_site_type_symbol
_atom_site_fract_x
_atom_site_fract_y
_atom_site_fract_z
Cs1 Cs 0.1215 0.8785 0.7500
Cs2 Cs 0.8785 0.1215 0.2500
Tl1 Tl 0.0718 0.9282 0.2500
Tl2 Tl 0.3158 0.6842 0.5523
Tl3 Tl 0.3158 0.6842 0.9477
Tl4 Tl 0.5000 0.5000 0.0000
Tl5 Tl 0.5000 0.5000 0.5000
Tl6 Tl 0.6842 0.3158 0.0523
Tl7 Tl 0.6842 0.3158 0.4477
Tl8 Tl 0.9282 0.0718 0.7500
Au1 Au 0.2269 0.7731 0.2500
Au2 Au 0.7731 0.2269 0.7500



(5)
# CsTl8Au2 | Alexandria | PBE | relaxed
# Distance to the lowest polymorph of the same formula ... 0.408 eV per formula unit
# Space group ... P4/mmm (123)
# DFT total energy ... -0.08674 Ha/atom
# Energy of formation from the pure elements ... 36 kJ/mol of formula units
data_CsTl8Au2
_cell_length_a 6.6415
_cell_length_b 6.6415
_cell_length_c 10.3061
_cell_angle_alpha 90.00
_cell_angle_beta 90.00
_cell_angle_gamma 90.00
_symmetry_space_group_name_H-M 'P 1'
_symmetry_Int_Tables_number 1
_symmetry_space_group_name_Hall 'P 1'
loop_
_atom_site_label
_atom_site_type_symbol
_atom_site_fract_x
_atom_site_fract_y
_atom_site_fract_z
Cs1 Cs 0.0000 0.0000 0.0000
Tl1 Tl 0.2520 0.2520 0.3156
Tl2 Tl 0.2520 0.2520 0.6844
Tl3 Tl 0.2520 0.7480 0.3156
Tl4 Tl 0.2520 0.7480 0.6844
Tl5 Tl 0.7480 0.2520 0.3156
Tl6 Tl 0.7480 0.2520 0.6844
Tl7 Tl 0.7480 0.7480 0.3156
Tl8 Tl 0.7480 0.7480 0.6844
Au1 Au 0.0000 0.5000 0.5000
Au2 Au 0.5000 0.0000 0.5000



(6)
# Cs3TlAu3 | Alexandria | PBE | relaxed
# Distance to the lowest polymorph of the same formula ... 0.000 eV per formula unit
# Space group ... C2/m (12)
# DFT total energy ... -0.08747 Ha/atom
# Energy of formation from the pure elements ... -184 kJ/mol of formula units
data_Cs3TlAu3
_cell_length_a 7.0372
_cell_length_b 7.0372
_cell_length_c 17.5341
_cell_angle_alpha 110.19
_cell_angle_beta 110.19
_cell_angle_gamma 42.84
_symmetry_space_group_name_H-M 'P 1'
_symmetry_Int_Tables_number 1
_symmetry_space_group_name_Hall 'P 1'
loop_
_atom_site_label
_atom_site_type_symbol
_atom_site_fract_x
_atom_site_fract_y
_atom_site_fract_z
Cs1 Cs 0.0136 0.0136 0.2671
Cs2 Cs 0.1782 0.1782 0.5745
Cs3 Cs 0.3581 0.3581 0.8682
Cs4 Cs 0.6419 0.6419 0.1318
Cs5 Cs 0.8218 0.8218 0.4255
Cs6 Cs 0.9864 0.9864 0.7329
Tl1 Tl 0.3265 0.3265 0.0825
Tl2 Tl 0.6735 0.6735 0.9175
Au1 Au 0.0902 0.0902 0.9724
Au2 Au 0.3204 0.3204 0.2678
Au3 Au 0.4783 0.4783 0.5784
Au4 Au 0.5217 0.5217 0.4216
Au5 Au 0.6796 0.6796 0.7322
Au6 Au 0.9098 0.9098 0.0276



(7)
# Cs4Tl5Au | Alexandria | PBE | relaxed
# Space group ... I4mm (107)
# DFT total energy ... -0.07265 Ha/atom
# Energy of formation from the pure elements ... -120 kJ/mol of formula units
data_Cs4Tl5Au
_cell_length_a 8.8157
_cell_length_b 8.8157
_cell_length_c 8.8157
_cell_angle_alpha 99.96
_cell_angle_beta 99.96
_cell_angle_gamma 130.86
_symmetry_space_group_name_H-M 'P 1'
_symmetry_Int_Tables_number 1
_symmetry_space_group_name_Hall 'P 1'
loop_
_atom_site_label
_atom_site_type_symbol
_atom_site_fract_x
_atom_site_fract_y
_atom_site_fract_z
Cs1 Cs 0.0000 0.2967 0.2967
Cs2 Cs 0.0000 0.7033 0.7033
Cs3 Cs 0.2967 0.0000 0.2967
Cs4 Cs 0.7033 0.0000 0.7033
Tl1 Tl 0.3254 0.3254 0.7175
Tl2 Tl 0.3254 0.6079 0.0000
Tl3 Tl 0.6079 0.3254 0.0000
Tl4 Tl 0.6079 0.6079 0.2825
Tl5 Tl 0.7779 0.7779 0.0000
Au1 Au 0.1750 0.1750 0.0000



(8)
# CsTl3Au2 | Alexandria | PBE | relaxed
# Distance to the lowest polymorph of the same formula ... 0.000 eV per formula unit
# Space group ... C2/m (12)
# DFT total energy ... -0.09395 Ha/atom
# Energy of formation from the pure elements ... -80 kJ/mol of formula units
data_CsTl3Au2
_cell_length_a 9.3518
_cell_length_b 9.3518
_cell_length_c 9.4671
_cell_angle_alpha 113.19
_cell_angle_beta 113.19
_cell_angle_gamma 31.51
_symmetry_space_group_name_H-M 'P 1'
_symmetry_Int_Tables_number 1
_symmetry_space_group_name_Hall 'P 1'
loop_
_atom_site_label
_atom_site_type_symbol
_atom_site_fract_x
_atom_site_fract_y
_atom_site_fract_z
Cs1 Cs 0.1564 0.1564 0.0669
Cs2 Cs 0.8436 0.8436 0.9331
Tl1 Tl 0.0286 0.0286 0.3374
Tl2 Tl 0.3191 0.3191 0.5765
Tl3 Tl 0.4074 0.4074 0.3294
Tl4 Tl 0.5926 0.5926 0.6706
Tl5 Tl 0.6809 0.6809 0.4235
Tl6 Tl 0.9714 0.9714 0.6626
Au1 Au 0.1724 0.1724 0.6403
Au2 Au 0.4807 0.4807 0.8435
Au3 Au 0.5193 0.5193 0.1565
Au4 Au 0.8276 0.8276 0.3597



(9)
# Cs3Tl3Au2 | Alexandria | PBE | relaxed
# Distance to the lowest polymorph of the same formula ... 0.000 eV per formula unit
# Space group ... Cmcm (63)
# DFT total energy ... -0.08060 Ha/atom
# Energy of formation from the pure elements ... -128 kJ/mol of formula units
data_Cs3Tl3Au2
_cell_length_a 7.5564
_cell_length_b 7.5564
_cell_length_c 18.5115
_cell_angle_alpha 90.00
_cell_angle_beta 90.00
_cell_angle_gamma 141.62
_symmetry_space_group_name_H-M 'P 1'
_symmetry_Int_Tables_number 1
_symmetry_space_group_name_Hall 'P 1'
loop_
_atom_site_label
_atom_site_type_symbol
_atom_site_fract_x
_atom_site_fract_y
_atom_site_fract_z
Cs1 Cs 0.0509 0.9491 0.6047
Cs2 Cs 0.0509 0.9491 0.8953
Cs3 Cs 0.3664 0.6336 0.7500
Cs4 Cs 0.6336 0.3664 0.2500
Cs5 Cs 0.9491 0.0509 0.1047
Cs6 Cs 0.9491 0.0509 0.3953
Tl1 Tl 0.3272 0.6728 0.5382
Tl2 Tl 0.3272 0.6728 0.9618
Tl3 Tl 0.3399 0.6601 0.2500
Tl4 Tl 0.6601 0.3399 0.7500
Tl5 Tl 0.6728 0.3272 0.0382
Tl6 Tl 0.6728 0.3272 0.4618
Au1 Au 0.2431 0.7569 0.1115
Au2 Au 0.2431 0.7569 0.3885
Au3 Au 0.7569 0.2431 0.6115
Au4 Au 0.7569 0.2431 0.8885



(10)
# CsTl10Au2 | Alexandria | PBE | relaxed
# Space group ... Fmmm (69)
# DFT total energy ... -0.08881 Ha/atom
# Energy of formation from the pure elements ... -33 kJ/mol of formula units
data_CsTl10Au2
_cell_length_a 11.3652
_cell_length_b 9.1319
_cell_length_c 8.1169
_cell_angle_alpha 82.20
_cell_angle_beta 52.76
_cell_angle_gamma 45.04
_symmetry_space_group_name_H-M 'P 1'
_symmetry_Int_Tables_number 1
_symmetry_space_group_name_Hall 'P 1'
loop_
_atom_site_label
_atom_site_type_symbol
_atom_site_fract_x
_atom_site_fract_y
_atom_site_fract_z
Cs1 Cs 0.0000 0.0000 0.0000
Tl1 Tl 0.0000 0.0000 0.5000
Tl2 Tl 0.0164 0.3517 0.6483
Tl3 Tl 0.2712 0.4842 0.5158
Tl4 Tl 0.3517 0.0164 0.9836
Tl5 Tl 0.4842 0.2712 0.7288
Tl6 Tl 0.5000 0.5000 0.0000
Tl7 Tl 0.5158 0.7288 0.2712
Tl8 Tl 0.6483 0.9836 0.0164
Tl9 Tl 0.7288 0.5158 0.4842
Tl10 Tl 0.9836 0.6483 0.3517
Au1 Au 0.0000 0.5000 0.0000
Au2 Au 0.5000 0.0000 0.5000



(11)
# CsTl4Au3 | Alexandria | PBE | relaxed
# Space group ... P4/mmm (123)
# DFT total energy ... -0.09740 Ha/atom
# Energy of formation from the pure elements ... -101 kJ/mol of formula units
data_CsTl4Au3
_cell_length_a 4.9946
_cell_length_b 4.9946
_cell_length_c 9.7731
_cell_angle_alpha 90.00
_cell_angle_beta 90.00
_cell_angle_gamma 90.00
_symmetry_space_group_name_H-M 'P 1'
_symmetry_Int_Tables_number 1
_symmetry_space_group_name_Hall 'P 1'
loop_
_atom_site_label
_atom_site_type_symbol
_atom_site_fract_x
_atom_site_fract_y
_atom_site_fract_z
Cs1 Cs 0.0000 0.0000 0.0000
Tl1 Tl 0.0000 0.5000 0.3225
Tl2 Tl 0.0000 0.5000 0.6775
Tl3 Tl 0.5000 0.0000 0.3225
Tl4 Tl 0.5000 0.0000 0.6775
Au1 Au 0.0000 0.0000 0.5000
Au2 Au 0.5000 0.5000 0.1449
Au3 Au 0.5000 0.5000 0.8551



(12)
# Cs3Tl5Au2 | Alexandria | PBE | relaxed
# Space group ... Ibam (72)
# DFT total energy ... -0.08268 Ha/atom
# Energy of formation from the pure elements ... -150 kJ/mol of formula units
data_Cs3Tl5Au2
_cell_length_a 10.7778
_cell_length_b 10.7778
_cell_length_c 10.7778
_cell_angle_alpha 107.61
_cell_angle_beta 87.56
_cell_angle_gamma 137.74
_symmetry_space_group_name_H-M 'P 1'
_symmetry_Int_Tables_number 1
_symmetry_space_group_name_Hall 'P 1'
loop_
_atom_site_label
_atom_site_type_symbol
_atom_site_fract_x
_atom_site_fract_y
_atom_site_fract_z
Cs1 Cs 0.1328 0.7444 0.8773
Cs2 Cs 0.2500 0.2500 0.0000
Cs3 Cs 0.3672 0.2444 0.6116
Cs4 Cs 0.6328 0.7556 0.3884
Cs5 Cs 0.7500 0.7500 0.0000
Cs6 Cs 0.8672 0.2556 0.1227
Tl1 Tl 0.0070 0.7500 0.2570
Tl2 Tl 0.1184 0.3575 0.4759
Tl3 Tl 0.2500 0.7500 0.5000
Tl4 Tl 0.3816 0.8575 0.2390
Tl5 Tl 0.4930 0.7500 0.7430
Tl6 Tl 0.5070 0.2500 0.2570
Tl7 Tl 0.6184 0.1425 0.7610
Tl8 Tl 0.7500 0.2500 0.5000
Tl9 Tl 0.8816 0.6425 0.5241
Tl10 Tl 0.9930 0.2500 0.7430
Au1 Au 0.1568 0.1332 0.2899
Au2 Au 0.3432 0.6332 0.9764
Au3 Au 0.6568 0.3668 0.0236
Au4 Au 0.8432 0.8668 0.7101